Computed, not measured: a geometry-optimized AcHo2TiN4 structure at the GGA-PBE level of DFT.

## Properties
M_tot: 0.00 μB/f.u.
total energy: -132.521 eV/cell

The structure in CIF format:
```
data_AcHo2TiN4
_chemical_formula_sum 'Ac2 Ho4 Ti2 N8'
_space_group_name_H-M_alt 'P 1'
_space_group_IT_number 1
_space_group_name_Hall 'P 1'
_cell_length_a 3.4815
_cell_length_b 6.2889
_cell_length_c 11.8350
_cell_angle_alpha 90.00
_cell_angle_beta 90.00
_cell_angle_gamma 106.07
loop_
_atom_site_label
_atom_site_type_symbol
_atom_site_fract_x
_atom_site_fract_y
_atom_site_fract_z
N1 N 0.2611 0.5222 0.1206
N2 N 0.0000 0.0000 0.0000
N3 N 0.4186 0.8372 0.7500
N4 N 0.0000 0.0000 0.5000
N5 N 0.7389 0.4778 0.8794
N6 N 0.2611 0.5222 0.3794
N7 N 0.5814 0.1628 0.2500
N8 N 0.7389 0.4778 0.6206
Ti1 Ti 0.1704 0.3407 0.2500
Ti2 Ti 0.8296 0.6593 0.7500
Ho1 Ho 0.6294 0.2589 0.0403
Ho2 Ho 0.3706 0.7411 0.5403
Ho3 Ho 0.3706 0.7411 0.9597
Ho4 Ho 0.6294 0.2589 0.4597
Ac1 Ac 0.9075 0.8150 0.2500
Ac2 Ac 0.0925 0.1850 0.7500
```

Computed, not measured: a geometry-optimized CaAg2SbTe structure at the GGA-PBE level of DFT.

## Properties
M_tot: 0.00 μB/f.u.
total energy: -15.255 eV/cell

The structure in CIF format:
```
data_CaAg2SbTe
_chemical_formula_sum 'Ca1 Ag2 Sb1 Te1'
_space_group_name_H-M_alt 'P 1'
_space_group_IT_number 1
_space_group_name_Hall 'P 1'
_cell_length_a 5.1389
_cell_length_b 6.3209
_cell_length_c 5.1389
_cell_angle_alpha 90.00
_cell_angle_beta 90.00
_cell_angle_gamma 90.00
loop_
_atom_site_label
_atom_site_type_symbol
_atom_site_fract_x
_atom_site_fract_y
_atom_site_fract_z
Te1 Te 0.0000 0.5000 0.0000
Ca1 Ca 0.5000 0.5000 0.5000
Sb1 Sb 0.0000 0.0000 0.0000
Ag1 Ag 0.0000 0.0000 0.5000
Ag2 Ag 0.5000 0.0000 0.0000
```